SrCr2W: optimized geometry, PBE.

Structure (POSCAR):
```
SrCr2W
1.0
-4.728 1.797 0.745
-1.823 -3.408 -3.347
-4.355 -6.142 4.722
Cr W Sr
4 2 2
direct
0.875 0.625 0.250
0.375 0.125 0.750
0.875 0.125 0.750
0.875 0.125 0.250
0.750 0.250 0.500
0.000 0.000 0.000
0.500 0.500 0.000
0.250 0.750 0.500
```

- E above lowest polymorph (kJ/mol of atoms) = 63.3
- ΔH_f (0 K) (kJ/mol of atoms) = 128.82

La2PmPr5Ho: optimized geometry, PBE.

Structure (POSCAR):
```
La2PmPr5Ho
1.0
8.801 0.000 0.000
0.000 8.801 0.000
-4.400 -4.400 8.350
Pr Pm La Ho
10 2 4 2
direct
0.576 0.637 0.713
0.424 0.363 0.287
0.863 0.924 0.287
0.363 0.863 0.287
0.000 0.000 0.000
0.637 0.137 0.713
0.924 0.424 0.287
0.137 0.076 0.713
0.500 0.500 0.000
0.076 0.576 0.713
0.250 0.250 0.500
0.750 0.750 0.500
0.120 0.380 0.000
0.880 0.620 0.000
0.380 0.880 0.000
0.620 0.120 0.000
0.750 0.250 0.500
0.250 0.750 0.500
```

- ΔH_f (0 K) (kJ/mol of atoms) = 23.64

ScCoTc2: optimized geometry, PBE.

Structure (POSCAR):
```
ScCoTc2
1.0
-2.799 6.772 -5.117
-5.115 5.175 -5.189
-4.703 6.959 -3.053
Tc Sc Co
2 1 1
direct
0.508 0.508 0.508
0.992 0.992 0.992
0.750 0.750 0.750
0.250 0.250 0.250
```

- E above lowest polymorph (kJ/mol of atoms) = 36.6
- ΔH_f (0 K) (kJ/mol of atoms) = 27.50

NiMoC: optimized geometry, PBE.

Structure (POSCAR):
```
NiMoC
1.0
-3.040 -0.305 0.029
0.242 -3.615 1.421
-0.442 1.266 5.522
Mo C Ni
2 2 2
direct
0.339 0.440 0.809
0.390 0.553 0.294
0.312 0.087 0.148
0.865 0.503 0.554
0.909 0.017 0.490
0.860 0.917 0.969
```

- E above lowest polymorph (kJ/mol of atoms) = 10.8
- ΔH_f (0 K) (kJ/mol of atoms) = 16.00

Np2AlTl2S6: optimized geometry, PBE.

Structure (POSCAR):
```
Np2AlTl2S6
1.0
6.707 0.002 0.052
-3.313 5.831 0.052
-1.217 -2.092 7.541
S Np Al Tl
6 2 1 2
direct
0.625 0.935 0.314
0.375 0.065 0.686
0.763 0.763 0.684
0.065 0.375 0.686
0.237 0.237 0.316
0.935 0.625 0.314
0.667 0.333 0.500
0.333 0.667 0.500
0.000 0.000 0.500
0.829 0.171 0.000
0.171 0.829 0.000
```

- E_form (uncorrected) (eV/f.u.) = -10.7

Cs3GaPb4: optimized geometry, PBE.

Structure (POSCAR):
```
Cs3GaPb4
1.0
7.687 -0.387 2.143
-4.122 6.500 -2.143
-1.478 -3.234 7.155
Cs Pb Ga
3 4 1
direct
0.562 0.241 0.803
0.562 0.759 0.321
0.921 0.000 0.921
0.045 0.731 0.313
0.229 0.698 0.927
0.229 0.302 0.531
0.582 0.269 0.313
0.021 0.500 0.521
```

- E above lowest polymorph (kJ/mol of atoms) = 5.6
- ΔH_f (0 K) (kJ/mol of atoms) = -11.47

Number 1: Fermi-level density of states 0.82 states/eV per atom. Number 2: Fermi-level density of states 1.59 states/eV per atom. Number 3: Fermi-level density of states 1.15 states/eV per atom. Number 4: Fermi-level density of states 0.54 states/eV per atom. Number 5: Fermi-level density of states 1.64 states/eV per atom. Number 6: Fermi-level density of states 0.41 states/eV per atom.